Li3MnV3O8 | PBE+U | optimized geometry

Lattice parameters (Å, degrees): 5.959 5.983 5.960 60.13 60.01 90.00
Last column: magnetic moment on the atom in μB.
Fractional positions:
Li (0.500, 0.500, 0.500)  0.00
Li (0.000, 0.500, 0.500)  0.00
Li (0.000, 0.500, 0.000)  0.00
Mn (0.500, 0.500, 0.000)  3.34
V (0.500, 0.000, 0.500)  1.88
V (0.000, 0.000, 0.500)  1.88
V (0.500, 0.000, 0.000)  1.88
O (0.742, 0.225, 0.517)  -0.02
O (0.258, 0.775, 0.483)  -0.02
O (0.260, 0.257, 0.461)  -0.05
O (0.279, 0.257, 0.003)  -0.05
O (0.718, 0.257, 0.022)  -0.05
O (0.282, 0.743, 0.978)  -0.05
O (0.721, 0.743, 0.997)  -0.05
O (0.740, 0.743, 0.539)  -0.05

- crystal system = trigonal
- total magnetic moment (μB/f.u.) = 9.00
- total DFT energy (no corrections) (eV/atom) = -6.998